Here is crystalline NaTbP4O12 at its relaxed geometry from Alexandria via LeMat-Bulk. Energies are from GGA-PBEsol.

Results
Density of states at the Fermi level (states/eV/atom): 0.0000
E_form (uncorrected) (eV per atom): -2.4694
SG: No. 14

Unit cell a=7.177 b=13.048 c=12.031 alpha=90.00 beta=126.00 gamma=90.00
Positions (direct):
1 Na 0.063 0.223 0.063
2 Na 0.063 0.277 0.563
3 Na 0.937 0.723 0.437
4 Na 0.937 0.777 0.937
5 Tb 0.465 0.220 0.978
6 Tb 0.465 0.280 0.478
7 Tb 0.535 0.720 0.522
8 Tb 0.535 0.780 0.022
9 P 0.007 0.604 0.256
10 P 0.007 0.896 0.756
11 P 0.109 0.616 0.735
12 P 0.109 0.884 0.235
13 P 0.346 0.629 0.197
14 P 0.346 0.871 0.697
15 P 0.435 0.092 0.702
16 P 0.435 0.408 0.202
17 P 0.565 0.592 0.798
18 P 0.565 0.908 0.298
19 P 0.654 0.129 0.303
20 P 0.654 0.371 0.803
21 P 0.891 0.116 0.765
22 P 0.891 0.384 0.265
23 P 0.993 0.104 0.244
24 P 0.993 0.396 0.744
25 O 0.071 0.513 0.790
26 O 0.071 0.987 0.290
27 O 0.093 0.627 0.163
28 O 0.093 0.873 0.663
29 O 0.104 0.149 0.899
30 O 0.104 0.351 0.399
31 O 0.196 0.612 0.407
32 O 0.196 0.888 0.907
33 O 0.206 0.167 0.298
34 O 0.206 0.333 0.798
35 O 0.219 0.689 0.853
36 O 0.219 0.811 0.353
37 O 0.289 0.581 0.704
38 O 0.289 0.919 0.204
39 O 0.332 0.711 0.105
40 O 0.332 0.789 0.605
41 O 0.350 0.164 0.584
42 O 0.350 0.336 0.084
43 O 0.355 0.521 0.137
44 O 0.355 0.979 0.637
45 O 0.367 0.113 0.796
46 O 0.367 0.387 0.296
47 O 0.476 0.134 0.151
48 O 0.476 0.366 0.651
49 O 0.524 0.634 0.349
50 O 0.524 0.866 0.849
51 O 0.633 0.613 0.704
52 O 0.633 0.887 0.204
53 O 0.645 0.021 0.363
54 O 0.645 0.479 0.863
55 O 0.650 0.664 0.916
56 O 0.650 0.836 0.416
57 O 0.668 0.211 0.395
58 O 0.668 0.289 0.895
59 O 0.711 0.081 0.796
60 O 0.711 0.419 0.296
61 O 0.781 0.189 0.647
62 O 0.781 0.311 0.147
63 O 0.794 0.667 0.202
64 O 0.794 0.833 0.702
65 O 0.804 0.112 0.093
66 O 0.804 0.388 0.593
67 O 0.896 0.649 0.601
68 O 0.896 0.851 0.101
69 O 0.907 0.127 0.337
70 O 0.907 0.373 0.837
71 O 0.929 0.013 0.710
72 O 0.929 0.487 0.210

Here is crystalline CuTcPt2 at its relaxed geometry from Alexandria via LeMat-Bulk. Energies are from GGA-PBEsol.

Results
Density of states at the Fermi level (states/eV/atom): 0.9312
Energy relative to the elements (meV/atom): -116
SG: No. 47

Unit cell a=2.708 b=3.833 c=5.327 alpha=90.00 beta=90.00 gamma=90.00
Positions (direct):
1 Cu 0.000 0.000 0.000
2 Tc 0.000 0.000 0.500
3 Pt 0.500 0.500 0.251
4 Pt 0.500 0.500 0.749

Here is crystalline ZnInH14O7F5 at its relaxed geometry from Alexandria via LeMat-Bulk. Energies are from GGA-PBEsol.

Results
Total energy (eV/cell): -274.125
Density of states at the Fermi level (states/eV/atom): 0.0000
SG: No. 2

Unit cell a=6.539 b=8.918 c=8.954 alpha=103.69 beta=97.73 gamma=96.88
Positions (direct):
1 Zn 0.000 0.000 0.000
2 Zn 0.000 0.500 0.500
3 In 0.500 0.000 0.500
4 In 0.500 0.500 0.000
5 H 0.031 0.300 0.982
6 H 0.045 0.324 0.218
7 H 0.061 0.038 0.314
8 H 0.109 0.352 0.731
9 H 0.121 0.233 0.565
10 H 0.178 0.759 0.362
11 H 0.184 0.977 0.748
12 H 0.203 0.749 0.985
13 H 0.256 0.439 0.305
14 H 0.341 0.727 0.640
15 H 0.391 0.559 0.663
16 H 0.391 0.702 0.306
17 H 0.401 0.148 0.029
18 H 0.405 0.059 0.163
19 H 0.595 0.941 0.837
20 H 0.599 0.852 0.971
21 H 0.609 0.298 0.694
22 H 0.609 0.441 0.337
23 H 0.659 0.273 0.360
24 H 0.744 0.561 0.695
25 H 0.797 0.251 0.015
26 H 0.816 0.023 0.252
27 H 0.822 0.241 0.638
28 H 0.879 0.767 0.435
29 H 0.891 0.648 0.269
30 H 0.939 0.962 0.686
31 H 0.955 0.676 0.782
32 H 0.969 0.700 0.018
33 O 0.040 0.314 0.618
34 O 0.051 0.008 0.778
35 O 0.052 0.761 0.960
36 O 0.128 0.381 0.325
37 O 0.302 0.611 0.598
38 O 0.315 0.071 0.070
39 O 0.323 0.797 0.339
40 O 0.677 0.203 0.661
41 O 0.685 0.929 0.930
42 O 0.698 0.389 0.402
43 O 0.872 0.619 0.675
44 O 0.948 0.239 0.040
45 O 0.949 0.992 0.222
46 O 0.960 0.686 0.382
47 F 0.187 0.408 0.912
48 F 0.231 0.102 0.477
49 F 0.400 0.919 0.687
50 F 0.436 0.722 0.007
51 F 0.456 0.533 0.236
52 F 0.544 0.467 0.764
53 F 0.564 0.278 0.993
54 F 0.600 0.081 0.313
55 F 0.769 0.898 0.523
56 F 0.813 0.592 0.088

Here is crystalline Rb3ScIn at its relaxed geometry from Alexandria via LeMat-Bulk. Energies are from GGA-PBEsol.

Results
Density of states at the Fermi level (states/eV/atom): 2.2210
Energy relative to the elements (meV/atom): 985
SG: No. 221

Unit cell a=6.861 b=6.861 c=6.861 alpha=90.00 beta=90.00 gamma=90.00
Positions (direct):
1 Rb 0.000 0.000 0.500
2 Rb 0.000 0.500 0.000
3 Rb 0.500 0.000 0.000
4 Sc 0.000 0.000 0.000
5 In 0.500 0.500 0.500

Here is crystalline BaCo2Os at its relaxed geometry from Alexandria via LeMat-Bulk. Energies are from GGA-PBEsol.

Results
Density of states at the Fermi level (states/eV/atom): 1.4300
Energy relative to the elements (meV/atom): 1124
SG: No. 71

Unit cell a=3.420 b=5.546 c=8.441 alpha=90.00 beta=90.00 gamma=90.00
Positions (direct):
1 Ba 0.000 0.000 0.000
2 Ba 0.500 0.500 0.500
3 Co 0.000 0.500 0.180
4 Co 0.000 0.500 0.820
5 Co 0.500 0.000 0.320
6 Co 0.500 0.000 0.680
7 Os 0.000 0.000 0.500
8 Os 0.500 0.500 0.000

Here is crystalline SrCuPb2 at its relaxed geometry from Alexandria via LeMat-Bulk. Energies are from GGA-PBEsol.

Results
Density of states at the Fermi level (states/eV/atom): 0.3219
Energy relative to the elements (meV/atom): -183
SG: No. 166

Unit cell a=4.519 b=4.519 c=18.250 alpha=90.00 beta=90.00 gamma=120.00
Positions (direct):
1 Sr 0.000 0.000 0.000
2 Sr 0.333 0.667 0.667
3 Sr 0.667 0.333 0.333
4 Cu 0.000 0.000 0.500
5 Cu 0.333 0.667 0.167
6 Cu 0.667 0.333 0.833
7 Pb 0.000 0.000 0.220
8 Pb 0.000 0.000 0.780
9 Pb 0.333 0.667 0.446
10 Pb 0.333 0.667 0.887
11 Pb 0.667 0.333 0.113
12 Pb 0.667 0.333 0.554

Here is crystalline KLaTe2 at its relaxed geometry from Alexandria via LeMat-Bulk. Energies are from GGA-PBEsol.

Results
Density of states at the Fermi level (states/eV/atom): 0.0000
E_form (uncorrected) (eV per atom): -1.1561
SG: No. 122

Unit cell a=8.489 b=8.489 c=9.380 alpha=90.00 beta=90.00 gamma=90.00
Positions (direct):
1 K 0.000 0.000 0.000
2 K 0.000 0.500 0.250
3 K 0.500 0.000 0.750
4 K 0.500 0.500 0.500
5 La 0.000 0.000 0.500
6 La 0.000 0.500 0.750
7 La 0.500 0.000 0.250
8 La 0.500 0.500 0.000
9 Te 0.221 0.250 0.625
10 Te 0.250 0.721 0.875
11 Te 0.250 0.779 0.375
12 Te 0.279 0.250 0.125
13 Te 0.721 0.750 0.125
14 Te 0.750 0.221 0.375
15 Te 0.750 0.279 0.875
16 Te 0.779 0.750 0.625

Here is crystalline LiAgAs at its relaxed geometry from Alexandria via LeMat-Bulk. Energies are from GGA-PBEsol.

Results
Density of states at the Fermi level (states/eV/atom): 0.2035
Energy relative to the elements (meV/atom): -243
SG: No. 107

Unit cell a=3.499 b=3.499 c=7.931 alpha=90.00 beta=90.00 gamma=90.00
Positions (direct):
1 Li 0.000 0.000 0.000
2 Li 0.500 0.500 0.500
3 Ag 0.000 0.000 0.664
4 Ag 0.500 0.500 0.164
5 As 0.000 0.000 0.330
6 As 0.500 0.500 0.830